## Zn2ReMo (GGA-PBE)

Data for a relaxed structure of Zn2ReMo.

a = 5.1223 Å, b = 5.1223 Å, c = 2.6439 Å
α = 97.77°, β = 97.77°, γ = 117.59°
Last column: nearest neighbours and their distance in Å.
Atoms (fractional coordinates):
Zn1 0.0000 0.5000 0.0000  4 Zn 2.64-2.65, 2 Mo 2.72, 2 Re 2.72
Zn2 0.5000 0.0000 0.0000  4 Zn 2.64-2.65, 2 Mo 2.72, 2 Re 2.72
Re1 0.0000 0.0000 0.5000  2 Re 2.64, 2 Mo 2.65, 4 Zn 2.72
Mo1 0.5000 0.5000 0.5000  2 Mo 2.64, 2 Re 2.65, 4 Zn 2.72

Results
total DFT energy (no corrections)	-6.25	eV/atom
density of states at the Fermi level	2.16	states/eV/cell
ΔE to the lowest computed polymorph	0.093	eV per atom
calculated formation energy	205	meV/atom
total magnetic moment	0.0	μB per formula unit